Nb3VPt, relaxed, DFT PBE; E_form = 1.270 eV per atom; offset from the most stable computed form = 429 meV per atom; space group = Pm-3m (221)
1.0
4.892 0.000 0.000
0.000 4.892 0.000
0.000 0.000 4.892
Pt Nb V
1 3 1
Direct
0.000 0.000 0.000
0.000 0.000 0.500
0.000 0.500 0.000
0.500 0.000 0.000
0.500 0.500 0.500